DFT (GGA-PBE) results for a geometry-optimized ZrRuO2 structure.

Its total energy is -0.5843 Ry/atom. The density of states at the Fermi level comes out at 0.480 states/eV/atom. For the formation energy without anion corrections, the calculation gives -1.0142 eV/atom.

It has space group Fm-3m (No. 225), with a = 5.682 Å, b = 5.682 Å, c = 5.682 Å, α = 90.00°, β = 90.00° and γ = 90.00°. The distinct sites, in fractional coordinates, are Zr at (0.000, 0.000, 0.000), Ru at (0.000, 0.000, 0.500) and O at (0.250, 0.250, 0.250).

=====

DFT (GGA-PBE) results for a geometry-optimized BaAcMgSn structure.

Its total energy is -0.2382 Ry/atom. The density of states at the Fermi level comes out at 1.030 states/eV/atom. For the calculated formation energy, the calculation gives -0.33 eV per atom.

It has space group F-43m (No. 216), with a = 8.326 Å, b = 8.326 Å, c = 8.326 Å, α = 90.00°, β = 90.00° and γ = 90.00°. The distinct sites, in fractional coordinates, are Ba at (0.000, 0.000, 0.000), Ac at (0.000, 0.000, 0.500), Mg at (0.250, 0.250, 0.750) and Sn at (0.250, 0.250, 0.250).

=====

DFT (GGA-PBE) results for a geometry-optimized CeTmTl structure.

Its total energy is -0.3171 Ry/atom. The density of states at the Fermi level comes out at 2.539 states/eV/atom. For the calculated formation energy, the calculation gives -0.06 eV per atom.

It has space group P3m1 (No. 156), with a = 5.3094 Å, b = 5.3094 Å, c = 3.6026 Å, α = 90.00°, β = 90.00° and γ = 120.00°. The distinct sites, in fractional coordinates, are Ce at (0.0000, 0.0000, 0.0000), Tm at (0.3333, 0.6667, 0.4566) and Tl at (0.6667, 0.3333, 0.6003).

=====

DFT (GGA-PBE) results for a geometry-optimized Y4TmAg2 structure.

Its total energy is -0.3707 Ry/atom. The density of states at the Fermi level comes out at 1.433 states/eV/atom. For the calculated formation energy, the calculation gives 0.10 eV per atom.

It has space group R-3m (No. 166, hexagonal axes), with a = 5.4292 Å, b = 5.4292 Å, c = 24.9652 Å, α = 90.00°, β = 90.00° and γ = 120.00°. The distinct sites, in fractional coordinates, are Y at (0.0000, 0.0000, 0.1259), Y at (0.0000, 0.0000, 0.2718), Tm at (0.0000, 0.0000, 0.5000) and Ag at (0.0000, 0.0000, 0.3887).

=====

DFT (GGA-PBE) results for a geometry-optimized K2MnBe structure.

Its total energy is -0.1909 Ry/atom. The density of states at the Fermi level comes out at 1.005 states/eV/atom. For the calculated formation energy, the calculation gives 1.18 eV per atom.

It has space group P4/mmm (No. 123), with a = 3.446 Å, b = 3.446 Å, c = 10.602 Å, α = 90.00°, β = 90.00° and γ = 90.00°. The distinct sites, in fractional coordinates, are K at (0.000, 0.000, 0.230), Mn at (0.500, 0.500, 0.500) and Be at (0.500, 0.500, 0.000).

=====

DFT (GGA-PBE) results for a geometry-optimized ScReMo structure.

Its total energy is -0.7398 Ry/atom. The density of states at the Fermi level comes out at 0.858 states/eV/atom. For the calculated formation energy, the calculation gives -0.20 eV per atom.

It has space group Imma (No. 74), with a = 5.319 Å, b = 5.343 Å, c = 7.528 Å, α = 90.00°, β = 90.00° and γ = 90.00°. The distinct sites, in fractional coordinates, are Sc at (0.000, 0.250, 0.123), Re at (0.250, 0.250, 0.750) and Mo at (0.000, 0.000, 0.500).

=====

DFT (GGA-PBE) results for a geometry-optimized Tb3TaN4 structure.

Its total energy is -0.6532 Ry/atom. The density of states at the Fermi level comes out at 0.237 states/eV/atom. For the formation energy without anion corrections, the calculation gives -1.5065 eV/atom.

It has space group Cmmm (No. 65), with a = 6.792 Å, b = 9.532 Å, c = 3.362 Å, α = 90.00°, β = 90.00° and γ = 90.00°. The distinct sites, in fractional coordinates, are Tb at (0.000, 0.000, 0.000), Tb at (0.250, 0.250, 0.500), Ta at (0.000, 0.500, 0.000), N at (0.000, 0.268, 0.000) and N at (0.225, 0.500, 0.500).

=====

DFT (GGA-PBE) results for a geometry-optimized CaNb2In2 structure.

Its total energy is -0.4010 Ry/atom. The density of states at the Fermi level comes out at 0.642 states/eV/atom. For the calculated formation energy, the calculation gives 0.07 eV per atom.

It has space group P4/mbm (No. 127), with a = 8.645 Å, b = 8.645 Å, c = 3.044 Å, α = 90.00°, β = 90.00° and γ = 90.00°. The distinct sites, in fractional coordinates, are Ca at (0.000, 0.000, 0.000), Nb at (0.109, 0.391, 0.000) and In at (0.183, 0.683, 0.500).